1.
This record from Alexandria via LeMat-Bulk describes a relaxed La6NdY2Sc crystal. The functional is PBE.

Total moment = 0.00 μB per formula unit
Energy of formation = 1.97 eV per formula unit
Calculated volume = 346.7 Å³/cell

Cell: 6.3993 6.3993 9.2214 Å, 100.68 100.68 70.50°
With the nearest neighbours (Å) after each atom.
Element x y z (fractional)
1 La 0.0871 0.6310 0.2285  1 Sc 3.10, 2 La 3.14-3.37
2 La 0.1237 0.1237 0.1402  5 La 3.14-3.49
3 La 0.3690 0.9129 0.7715  1 Sc 3.10, 2 La 3.14-3.37
4 La 0.6310 0.0871 0.2285  1 Sc 3.10, 2 La 3.14-3.37
5 La 0.8763 0.8763 0.8598  5 La 3.14-3.49
6 La 0.9129 0.3690 0.7715  1 Sc 3.10, 2 La 3.14-3.37
7 Nd 0.5000 0.5000 0.0000  4 La 3.47
8 Y 0.3441 0.3441 0.5576  1 Sc 3.51, 6 La 3.62-3.84, 1 Y 3.65
9 Y 0.6559 0.6559 0.4424  1 Sc 3.51, 6 La 3.62-3.84, 1 Y 3.65
10 Sc 0.0000 0.0000 0.5000  4 La 3.10

=====

2.
This record from Alexandria via LeMat-Bulk describes a relaxed LaNdScZn crystal. The functional is PBE.

Total moment = 0.00 μB per formula unit
Energy of formation = -0.08 eV per formula unit
Calculated volume = 110.5 Å³/cell
Polymorph energy (0 for the lowest one) = 10.9 kJ/mol of atoms

Cell: 5.3864 5.3864 5.3864 Å, 60.00 60.00 60.00°
With the nearest neighbours (Å) after each atom.
Element x y z (fractional)
1 La 0.0000 0.0000 0.0000  4 Zn 3.30, 4 Sc 3.30
2 Nd 0.5000 0.5000 0.5000  4 Sc 3.30, 4 Zn 3.30
3 Sc 0.2500 0.2500 0.2500  4 La 3.30, 4 Nd 3.30
4 Zn 0.7500 0.7500 0.7500  4 La 3.30, 4 Nd 3.30

=====

3.
This record from Alexandria via LeMat-Bulk describes a relaxed LaNdScZn crystal. The functional is PBE.

Total moment = 0.00 μB per formula unit
Energy of formation = -0.53 eV per formula unit
Calculated volume = 109.7 Å³/cell
Polymorph energy (0 for the lowest one) = 0.0 kJ/mol of atoms

Cell: 3.5661 3.5661 8.6279 Å, 90.00 90.00 90.00°
With the nearest neighbours (Å) after each atom.
Element x y z (fractional)
1 La 0.0000 0.0000 0.0000  4 Sc 3.50, 4 La 3.57, 4 Nd 3.75, 1 Zn 3.82
2 Nd 0.5000 0.5000 0.6786  4 Zn 3.24, 1 Sc 3.43, 4 Nd 3.57
3 Sc 0.5000 0.5000 0.2808  4 Zn 2.88
4 Zn 0.0000 0.0000 0.4432  4 Sc 2.88